A geometry-optimized BeAg4 structure. Source: Alexandria via LeMat-Bulk, functional GGA-PBE.

Output
Crystal system = cubic
ρ = 8.32 Mg/m³
Energy of formation from the pure elements = 357 meV per atom

abc: 4.4457 4.4457 4.4457
angles: 90.00 90.00 90.00
With the nearest neighbours (Å) after each atom.
Space group Pm-3m (No. 221)
Inequivalent atoms, fractional coordinates:
Be 0.0000 0.0000 0.0000  6 Ag 2.22
Ag 0.0000 0.0000 0.5000  2 Be 2.22
Ag 0.5000 0.5000 0.5000  12 Ag 3.14